## a
A relaxed PrNd7Y3 crystal, computed with PBE-GGA.

Unit cell a=7.8504 b=7.8504 c=6.4937 alpha=94.40 beta=94.40 gamma=81.48
Closest atoms and distances in Å follow each position.
Positions (direct):
Pr: 0.0000 0.0000 0.0000  4 Nd 3.25-3.48
Nd: 0.0000 0.0000 0.5000  2 Pr 3.25, 2 Y 3.39, 2 Nd 3.55
Nd: 0.0759 0.4254 0.7600  6 Nd 3.35-3.73, 3 Y 3.56-3.67
Nd: 0.2635 0.2635 0.2871  5 Nd 3.35-3.57, 3 Y 3.47-3.53, 1 Pr 3.48
Nd: 0.4254 0.0759 0.7600  6 Nd 3.35-3.73, 3 Y 3.56-3.67
Nd: 0.5746 0.9241 0.2400  6 Nd 3.35-3.73, 3 Y 3.56-3.67
Nd: 0.7365 0.7365 0.7129  5 Nd 3.35-3.57, 3 Y 3.47-3.53, 1 Pr 3.48
Nd: 0.9241 0.5746 0.2400  6 Nd 3.35-3.73, 3 Y 3.56-3.67
Y: 0.3304 0.6696 0.5000  7 Nd 3.39-3.64, 3 Y 3.47-3.68
Y: 0.5000 0.5000 0.0000  6 Nd 3.53-3.67, 4 Y 3.68
Y: 0.6696 0.3304 0.5000  7 Nd 3.39-3.64, 3 Y 3.47-3.68

Computed properties:
crystal system	monoclinic
volume	393.7	Å³ per cell
D(E_F)	15.56	states/eV per cell

=====

## b
A relaxed PrNd7Y3 crystal, computed with PBE-GGA.

Unit cell a=7.2601 b=7.2601 c=8.7671 alpha=90.00 beta=90.00 gamma=120.00
Closest atoms and distances in Å follow each position.
Positions (direct):
Pr: 0.0000 0.0000 0.0000  9 Nd 3.58-3.63, 3 Y 3.67
Nd: 0.1664 0.3329 0.3311  2 Y 3.54, 1 Pr 3.58, 8 Nd 3.63-3.70
Nd: 0.1664 0.8336 0.3311  2 Y 3.54, 1 Pr 3.58, 8 Nd 3.63-3.70
Nd: 0.5004 0.0007 0.9839  2 Y 3.55, 7 Nd 3.58-3.70, 2 Pr 3.63
Nd: 0.5004 0.4996 0.9839  2 Y 3.55, 7 Nd 3.58-3.70, 2 Pr 3.63
Nd: 0.6667 0.3333 0.3152  9 Nd 3.58-3.63, 3 Y 3.65
Nd: 0.6671 0.8336 0.3311  2 Y 3.54, 1 Pr 3.58, 8 Nd 3.63-3.70
Nd: 0.9993 0.4996 0.9839  2 Y 3.55, 7 Nd 3.58-3.70, 2 Pr 3.63
Y: 0.3337 0.1669 0.6570  5 Nd 3.54-3.65, 4 Y 3.63, 1 Pr 3.67
Y: 0.8331 0.1669 0.6570  5 Nd 3.54-3.65, 4 Y 3.63, 1 Pr 3.67
Y: 0.8331 0.6663 0.6570  5 Nd 3.54-3.65, 4 Y 3.63, 1 Pr 3.67

Computed properties:
crystal system	trigonal
volume	400.2	Å³ per cell
D(E_F)	18.26	states/eV per cell

=====

Quick one: most stable of them? b

=====

## a
A relaxed Pr2Nd6Y crystal, computed with PBE-GGA.

Unit cell a=9.8943 b=9.8943 c=6.8314 alpha=100.16 beta=100.16 gamma=99.36
Closest atoms and distances in Å follow each position.
Positions (direct):
Pr: 0.1242 0.1647 0.3677  7 Nd 3.45-3.74, 3 Pr 3.47-3.61
Pr: 0.1647 0.1242 0.8677  7 Nd 3.45-3.74, 3 Pr 3.47-3.61
Pr: 0.8353 0.8758 0.1323  7 Nd 3.45-3.74, 3 Pr 3.47-3.61
Pr: 0.8758 0.8353 0.6323  7 Nd 3.45-3.74, 3 Pr 3.47-3.61
Nd: 0.0405 0.4269 0.7019  6 Nd 3.37-3.65, 2 Pr 3.45-3.70, 1 Y 3.57
Nd: 0.1410 0.7659 0.9800  6 Nd 3.44-3.77, 3 Pr 3.46-3.74, 1 Y 3.59
Nd: 0.2341 0.8590 0.5200  6 Nd 3.44-3.77, 3 Pr 3.46-3.74, 1 Y 3.59
Nd: 0.2627 0.4646 0.1809  3 Nd 3.36-3.53, 2 Pr 3.54-3.60, 1 Y 3.57
Nd: 0.4269 0.0405 0.2019  6 Nd 3.37-3.65, 2 Pr 3.45-3.70, 1 Y 3.57
Nd: 0.4646 0.2627 0.6809  3 Nd 3.36-3.53, 2 Pr 3.54-3.60, 1 Y 3.57
Nd: 0.5354 0.7373 0.3191  3 Nd 3.36-3.53, 2 Pr 3.54-3.60, 1 Y 3.57
Nd: 0.5731 0.9595 0.7981  6 Nd 3.37-3.65, 2 Pr 3.45-3.70, 1 Y 3.57
Nd: 0.7373 0.5354 0.8191  3 Nd 3.36-3.53, 2 Pr 3.54-3.60, 1 Y 3.57
Nd: 0.7659 0.1410 0.4800  6 Nd 3.44-3.77, 3 Pr 3.46-3.74, 1 Y 3.59
Nd: 0.8590 0.2341 0.0200  6 Nd 3.44-3.77, 3 Pr 3.46-3.74, 1 Y 3.59
Nd: 0.9595 0.5731 0.2981  6 Nd 3.37-3.65, 2 Pr 3.45-3.70, 1 Y 3.57
Y: 0.3921 0.6079 0.7500  10 Nd 3.57-3.81
Y: 0.6079 0.3921 0.2500  10 Nd 3.57-3.81

Computed properties:
crystal system	monoclinic
volume	634.8	Å³ per cell
D(E_F)	27.71	states/eV per cell

=====

## b
A relaxed Pr2Nd6Y crystal, computed with PBE-GGA.

Unit cell a=9.7368 b=9.7368 c=3.6775 alpha=100.84 beta=100.84 gamma=69.12
Closest atoms and distances in Å follow each position.
Positions (direct):
Pr: 0.1673 0.1673 0.1667  2 Pr 3.68, 10 Nd 3.68-3.70
Pr: 0.8327 0.8327 0.8333  2 Pr 3.68, 10 Nd 3.68-3.70
Nd: 0.1684 0.5003 0.8345  7 Nd 3.66-3.71, 2 Y 3.66-3.67, 3 Pr 3.68-3.69
Nd: 0.1685 0.8315 0.5000  7 Nd 3.66-3.72, 1 Y 3.66, 4 Pr 3.70
Nd: 0.5003 0.1684 0.8345  7 Nd 3.66-3.71, 2 Y 3.66-3.67, 3 Pr 3.68-3.69
Nd: 0.4997 0.8316 0.1655  7 Nd 3.66-3.71, 2 Y 3.66-3.67, 3 Pr 3.68-3.69
Nd: 0.8315 0.1685 0.5000  7 Nd 3.66-3.72, 1 Y 3.66, 4 Pr 3.70
Nd: 0.8316 0.4997 0.1655  7 Nd 3.66-3.71, 2 Y 3.66-3.67, 3 Pr 3.68-3.69
Y: 0.5000 0.5000 0.5000  10 Nd 3.66-3.67, 2 Y 3.68

Computed properties:
crystal system	monoclinic
volume	317.1	Å³ per cell
D(E_F)	13.57	states/eV per cell

=====

Quick one: most stable of them? b

=====

## a
A relaxed Pr3Nd4Y5 crystal, computed with PBE-GGA.

Unit cell a=6.3103 b=7.2845 c=8.9223 alpha=90.05 beta=90.10 gamma=90.08
Closest atoms and distances in Å follow each position.
Positions (direct):
Pr: 0.0000 0.0000 0.0000  8 Y 3.62-3.65, 2 Pr 3.63, 2 Nd 3.64
Pr: 0.1678 0.7507 0.6681  5 Y 3.63-3.67, 1 Pr 3.63, 6 Nd 3.64-3.67
Pr: 0.8322 0.2493 0.3319  5 Y 3.63-3.67, 1 Pr 3.63, 6 Nd 3.64-3.67
Nd: 0.1683 0.2503 0.6682  5 Y 3.62-3.67, 4 Pr 3.64-3.67, 3 Nd 3.64-3.66
Nd: 0.3311 0.5003 0.3324  5 Y 3.62-3.64, 3 Pr 3.64-3.66, 4 Nd 3.64-3.67
Nd: 0.6689 0.4997 0.6676  5 Y 3.62-3.64, 3 Pr 3.64-3.66, 4 Nd 3.64-3.67
Nd: 0.8317 0.7497 0.3318  5 Y 3.62-3.67, 4 Pr 3.64-3.67, 3 Nd 3.64-3.66
Y: 0.0000 0.5000 0.0000  4 Nd 3.62-3.63, 4 Pr 3.64, 4 Y 3.64-3.65
Y: 0.3334 0.0000 0.3311  4 Pr 3.62-3.67, 3 Y 3.62-3.67, 5 Nd 3.64-3.67
Y: 0.4994 0.2493 0.9999  3 Nd 3.62-3.64, 6 Y 3.62-3.65, 3 Pr 3.63-3.65
Y: 0.5006 0.7507 0.0001  3 Nd 3.62-3.64, 6 Y 3.62-3.65, 3 Pr 3.63-3.65
Y: 0.6666 0.0000 0.6689  4 Pr 3.62-3.67, 3 Y 3.62-3.67, 5 Nd 3.64-3.67

Computed properties:
crystal system	triclinic
volume	410.1	Å³ per cell
D(E_F)	17.12	states/eV per cell

=====

## b
A relaxed Pr3Nd4Y5 crystal, computed with PBE-GGA.

Unit cell a=8.7105 b=8.7105 c=9.4652 alpha=114.49 beta=114.49 gamma=40.65
Closest atoms and distances in Å follow each position.
Positions (direct):
Pr: 0.0000 0.0000 0.0000  2 Y 3.03
Pr: 0.2898 0.2898 0.7671  3 Y 3.16-3.32, 2 Nd 3.33-3.46
Pr: 0.7102 0.7102 0.2329  3 Y 3.16-3.32, 2 Nd 3.33-3.46
Nd: 0.2891 0.2891 0.1180  3 Pr 3.33-3.64, 3 Nd 3.64-3.71, 2 Y 3.72
Nd: 0.4158 0.4158 0.5539  2 Nd 3.33-3.71, 1 Pr 3.46, 3 Y 3.49-3.59
Nd: 0.5842 0.5842 0.4461  2 Nd 3.33-3.71, 1 Pr 3.46, 3 Y 3.49-3.59
Nd: 0.7109 0.7109 0.8820  3 Pr 3.33-3.64, 3 Nd 3.64-3.71, 2 Y 3.72
Y: 0.0719 0.0719 0.6990  2 Pr 3.32-3.53, 2 Y 3.45-3.68, 2 Nd 3.72
Y: 0.1710 0.1710 0.3868  4 Pr 3.25-3.54, 3 Nd 3.49-3.59
Y: 0.5000 0.5000 0.0000  4 Pr 3.03-3.16
Y: 0.8290 0.8290 0.6132  4 Pr 3.25-3.54, 3 Nd 3.49-3.59
Y: 0.9281 0.9281 0.3010  2 Pr 3.32-3.53, 2 Y 3.45-3.68, 2 Nd 3.72

Computed properties:
crystal system	monoclinic
volume	419.7	Å³ per cell
D(E_F)	19.36	states/eV per cell

=====

Quick one: most stable of them? a

=====

## a
A relaxed PrNdY2 crystal, computed with PBE-GGA.

Unit cell a=3.6408 b=3.6408 c=35.2751 alpha=90.00 beta=90.00 gamma=120.00
Closest atoms and distances in Å follow each position.
Positions (direct):
Pr: 0.0000 0.0000 0.0000  6 Y 3.62, 6 Pr 3.64
Pr: 0.3333 0.6667 0.6667  6 Y 3.62, 6 Pr 3.64
Pr: 0.6667 0.3333 0.3333  6 Y 3.62, 6 Pr 3.64
Nd: 0.0000 0.0000 0.5000  6 Y 3.61, 6 Nd 3.64
Nd: 0.3333 0.6667 0.1667  6 Y 3.61, 6 Nd 3.64
Nd: 0.6667 0.3333 0.8333  6 Y 3.61, 6 Nd 3.64
Y: 0.0000 0.0000 0.2497  3 Nd 3.61, 3 Pr 3.62, 6 Y 3.64
Y: 0.0000 0.0000 0.7503  3 Nd 3.61, 3 Pr 3.62, 6 Y 3.64
Y: 0.3333 0.6667 0.4169  3 Nd 3.61, 3 Pr 3.62, 6 Y 3.64
Y: 0.3333 0.6667 0.9164  3 Nd 3.61, 3 Pr 3.62, 6 Y 3.64
Y: 0.6667 0.3333 0.0836  3 Nd 3.61, 3 Pr 3.62, 6 Y 3.64
Y: 0.6667 0.3333 0.5831  3 Nd 3.61, 3 Pr 3.62, 6 Y 3.64

Computed properties:
crystal system	trigonal
volume	404.9	Å³ per cell
D(E_F)	13.87	states/eV per cell

=====

## b
A relaxed PrNdY2 crystal, computed with PBE-GGA.

Unit cell a=3.6874 b=11.6741 c=6.3767 alpha=90.00 beta=90.00 gamma=90.00
Closest atoms and distances in Å follow each position.
Positions (direct):
Pr: 0.0000 0.0000 0.0000  6 Y 3.61-3.62, 4 Nd 3.68-3.69, 2 Pr 3.69
Pr: 0.5000 0.5000 0.5000  6 Y 3.61-3.62, 4 Nd 3.68-3.69, 2 Pr 3.69
Nd: 0.0000 0.5000 0.0010  6 Y 3.61, 4 Pr 3.68-3.69, 2 Nd 3.69
Nd: 0.5000 0.0000 0.5010  6 Y 3.61, 4 Pr 3.68-3.69, 2 Nd 3.69
Y: 0.0000 0.2496 0.3330  3 Pr 3.61-3.62, 3 Nd 3.61, 6 Y 3.68-3.69
Y: 0.0000 0.7504 0.3330  3 Pr 3.61-3.62, 3 Nd 3.61, 6 Y 3.68-3.69
Y: 0.5000 0.2504 0.8330  3 Pr 3.61-3.62, 3 Nd 3.61, 6 Y 3.68-3.69
Y: 0.5000 0.7496 0.8330  3 Pr 3.61-3.62, 3 Nd 3.61, 6 Y 3.68-3.69

Computed properties:
crystal system	orthorhombic
volume	274.5	Å³ per cell
D(E_F)	15.42	states/eV per cell

=====

## c
A relaxed PrNdY2 crystal, computed with PBE-GGA.

Unit cell a=3.6489 b=3.6489 c=35.3558 alpha=90.00 beta=90.00 gamma=120.00
Closest atoms and distances in Å follow each position.
Positions (direct):
Pr: 0.0000 0.0000 0.0000  6 Y 3.63-3.66, 6 Pr 3.65
Pr: 0.3333 0.6667 0.6667  6 Y 3.63-3.66, 6 Pr 3.65
Pr: 0.6667 0.3333 0.3333  6 Y 3.63-3.66, 6 Pr 3.65
Nd: 0.0000 0.0000 0.8340  6 Y 3.60, 6 Nd 3.65
Nd: 0.3333 0.6667 0.5006  6 Y 3.60, 6 Nd 3.65
Nd: 0.6667 0.3333 0.1673  6 Y 3.60, 6 Nd 3.65
Y: 0.0000 0.0000 0.2499  3 Nd 3.60, 3 Pr 3.63, 6 Y 3.65
Y: 0.0000 0.0000 0.4181  3 Nd 3.60, 6 Y 3.65, 3 Pr 3.66
Y: 0.3333 0.6667 0.0847  3 Nd 3.60, 6 Y 3.65, 3 Pr 3.66
Y: 0.3333 0.6667 0.9165  3 Nd 3.60, 3 Pr 3.63, 6 Y 3.65
Y: 0.6667 0.3333 0.5832  3 Nd 3.60, 3 Pr 3.63, 6 Y 3.65
Y: 0.6667 0.3333 0.7514  3 Nd 3.60, 6 Y 3.65, 3 Pr 3.66

Computed properties:
crystal system	trigonal
volume	407.7	Å³ per cell
D(E_F)	17.72	states/eV per cell

=====

## d
A relaxed PrNdY2 crystal, computed with PBE-GGA.

Unit cell a=8.1788 b=8.1788 c=8.1788 alpha=90.00 beta=90.00 gamma=90.00
Closest atoms and distances in Å follow each position.
Positions (direct):
Pr: 0.0000 0.0000 0.0000  8 Y 3.54
Pr: 0.0000 0.5000 0.5000  8 Y 3.54
Pr: 0.5000 0.0000 0.5000  8 Y 3.54
Pr: 0.5000 0.5000 0.0000  8 Y 3.54
Nd: 0.0000 0.0000 0.5000  8 Y 3.54
Nd: 0.0000 0.5000 0.0000  8 Y 3.54
Nd: 0.5000 0.0000 0.0000  8 Y 3.54
Nd: 0.5000 0.5000 0.5000  8 Y 3.54
Y: 0.2500 0.2500 0.2500  4 Pr 3.54, 4 Nd 3.54
Y: 0.2500 0.2500 0.7500  4 Pr 3.54, 4 Nd 3.54
Y: 0.2500 0.7500 0.2500  4 Pr 3.54, 4 Nd 3.54
Y: 0.2500 0.7500 0.7500  4 Pr 3.54, 4 Nd 3.54
Y: 0.7500 0.2500 0.2500  4 Pr 3.54, 4 Nd 3.54
Y: 0.7500 0.2500 0.7500  4 Pr 3.54, 4 Nd 3.54
Y: 0.7500 0.7500 0.2500  4 Pr 3.54, 4 Nd 3.54
Y: 0.7500 0.7500 0.7500  4 Nd 3.54, 4 Pr 3.54

Computed properties:
crystal system	cubic
volume	547.1	Å³ per cell
D(E_F)	30.24	states/eV per cell

=====

Quick one: most stable of them? a